1.
## MgV3F (PBE with a Hubbard U)

Data for a relaxed MgV3F crystal.

Cell: 4.5182 4.5182 4.5182 Å, 90.00 90.00 90.00°
Last column: nearest neighbours and their distance in Å.
Fractional coordinates of all 5 atoms:
Mg 0.5000 0.5000 0.5000  12 V 3.19
V 0.0000 0.5000 0.0000  2 F 2.26
V 0.0000 0.0000 0.5000  2 F 2.26
V 0.5000 0.0000 0.0000  2 F 2.26
F 0.0000 0.0000 0.0000  6 V 2.26

The value obtained for the total energy is -4.75 eV per atom. Its crystal system is cubic.

2.
## MgVF2 (PBE with a Hubbard U)

Data for a relaxed MgVF2 crystal.

Cell: 6.7920 6.7920 6.7920 Å, 27.48 27.48 27.48°
Last column: nearest neighbours and their distance in Å.
Fractional coordinates of all 4 atoms:
Mg 0.5000 0.5000 0.5000  6 F 2.06
V 0.0000 0.0000 0.0000  2 F 2.38
F 0.8787 0.8787 0.8787  3 Mg 2.06
F 0.1213 0.1213 0.1213  3 Mg 2.06

The value obtained for the total energy is -5.08 eV per atom. Its crystal system is trigonal.

3.
## MgVF3 (PBE with a Hubbard U)

Data for a relaxed MgVF3 crystal.

Cell: 4.1916 4.1916 4.1916 Å, 90.00 90.00 90.00°
Last column: nearest neighbours and their distance in Å.
Fractional coordinates of all 5 atoms:
Mg 0.5000 0.5000 0.5000  12 F 2.96
V 0.0000 0.0000 0.0000  6 F 2.10
F 0.0000 0.5000 0.0000  2 V 2.10
F 0.0000 0.0000 0.5000  2 V 2.10
F 0.5000 0.0000 0.0000  2 V 2.10

The value obtained for the total energy is -5.08 eV per atom. Its crystal system is cubic.

4.
## Mg2V2F (PBE with a Hubbard U)

Data for a relaxed Mg2V2F crystal.

Cell: 3.5383 3.5383 8.3149 Å, 77.72 77.72 90.00°
Last column: nearest neighbours and their distance in Å.
Fractional coordinates of all 5 atoms:
Mg 0.4032 0.4032 0.1936  4 F 2.94, 4 V 3.01, 1 Mg 3.07
Mg 0.5968 0.5968 0.8064  4 F 2.94, 4 V 3.01, 1 Mg 3.07
V 0.7500 0.2500 0.5000  4 V 2.50
V 0.2500 0.7500 0.5000  4 V 2.50
F 0.0000 0.0000 0.0000  8 Mg 2.94

The value obtained for the total energy is -3.61 eV per atom. Its crystal system is tetragonal.

5.
## MgVF2 (PBE with a Hubbard U)

Data for a relaxed MgVF2 crystal.

Cell: 4.2883 4.2883 4.2883 Å, 60.00 60.00 60.00°
Last column: nearest neighbours and their distance in Å.
Fractional coordinates of all 4 atoms:
Mg 0.0000 0.0000 0.0000  8 F 2.63
V 0.5000 0.5000 0.5000  8 F 2.63
F 0.2500 0.2500 0.2500  4 Mg 2.63, 4 V 2.63
F 0.7500 0.7500 0.7500  4 V 2.63, 4 Mg 2.63

The value obtained for the total energy is -4.17 eV per atom. Its crystal system is cubic.

6.
## MgVF2 (PBE with a Hubbard U)

Data for a relaxed MgVF2 crystal.

Cell: 5.2911 5.2911 6.0806 Å, 64.21 64.21 90.00°
Last column: nearest neighbours and their distance in Å.
Fractional coordinates of all 8 atoms:
Mg 0.5000 0.5000 0.0000  4 F 1.95
Mg 0.2500 0.7500 0.5000  4 F 1.95
V 0.0000 0.0000 0.0000  4 F 2.57
V 0.7500 0.2500 0.5000  4 F 2.57
F 0.5250 0.1250 0.2500  2 Mg 1.95
F 0.2250 0.6250 0.2500  2 Mg 1.95
F 0.3750 0.4750 0.7500  2 Mg 1.95
F 0.8750 0.7750 0.7500  2 Mg 1.95

The value obtained for the total energy is -4.79 eV per atom. Its crystal system is tetragonal.

7.
## MgVF3 (PBE with a Hubbard U)

Data for a relaxed MgVF3 crystal.

Cell: 3.9916 3.9916 3.9916 Å, 90.00 90.00 90.00°
Last column: nearest neighbours and their distance in Å.
Fractional coordinates of all 5 atoms:
Mg 0.0000 0.0000 0.0000  6 F 2.00
V 0.5000 0.5000 0.5000  12 F 2.82
F 0.0000 0.5000 0.0000  2 Mg 2.00
F 0.0000 0.0000 0.5000  2 Mg 2.00
F 0.5000 0.0000 0.0000  2 Mg 2.00

The value obtained for the total energy is -5.08 eV per atom. Its crystal system is cubic.

8.
## Mg2VF6 (PBE with a Hubbard U)

Data for a relaxed Mg2VF6 crystal.

Cell: 4.7704 4.7704 9.4705 Å, 90.00 90.00 90.00°
Last column: nearest neighbours and their distance in Å.
Fractional coordinates of all 18 atoms:
Mg 0.5000 0.5000 0.3331  6 F 2.02-2.03
Mg 0.5000 0.5000 0.6669  6 F 2.02-2.03
Mg 0.0000 0.0000 0.1669  6 F 2.02-2.03
Mg 0.0000 0.0000 0.8331  6 F 2.02-2.03
V 0.5000 0.5000 0.0000  6 F 2.11-2.13
V 0.0000 0.0000 0.5000  6 F 2.11-2.13
F 0.7005 0.7005 0.1739  2 Mg 2.02-2.03, 1 V 2.13
F 0.7005 0.7005 0.8261  2 Mg 2.02-2.03, 1 V 2.13
F 0.6875 0.6875 0.5000  2 Mg 2.02, 1 V 2.11
F 0.8125 0.1875 0.0000  2 Mg 2.02, 1 V 2.11
F 0.7995 0.2005 0.3261  2 Mg 2.02-2.03, 1 V 2.13
F 0.7995 0.2005 0.6739  2 Mg 2.02-2.03, 1 V 2.13
F 0.2005 0.7995 0.3261  2 Mg 2.02-2.03, 1 V 2.13
F 0.2005 0.7995 0.6739  2 Mg 2.02-2.03, 1 V 2.13
F 0.1875 0.8125 0.0000  2 Mg 2.02, 1 V 2.11
F 0.3125 0.3125 0.5000  2 Mg 2.02, 1 V 2.11
F 0.2995 0.2995 0.1739  2 Mg 2.02-2.03, 1 V 2.13
F 0.2995 0.2995 0.8261  2 Mg 2.02-2.03, 1 V 2.13

The value obtained for the total energy is -5.68 eV per atom. Its crystal system is tetragonal.